The following is a PBE calculation of an optimized crystal structure of ZrSe2, from the Open Quantum Materials Database.

Properties
electronic total energy = -6.3646 eV/atom
symmetry = R3m

Cell: 3.7028 3.7028 19.8952 Å, 90.00 90.00 120.00°
Last column: nearest neighbours and their distance in Å.
Sites, in units of the cell vectors:
Zr1 0.0000 0.0000 0.0000  6 Se 2.73
Zr2 0.3333 0.6667 0.6667  6 Se 2.73
Zr3 0.6667 0.3333 0.3333  6 Se 2.73
Se1 0.0000 0.0000 0.2482  3 Zr 2.73
Se2 0.0000 0.0000 0.4189  3 Zr 2.73
Se3 0.3333 0.6667 0.0855  3 Zr 2.73
Se4 0.3333 0.6667 0.9149  3 Zr 2.73
Se5 0.6667 0.3333 0.5816  3 Zr 2.73
Se6 0.6667 0.3333 0.7522  3 Zr 2.73

***

The following is a PBE calculation of an optimized crystal structure of ZrSe2, from the Open Quantum Materials Database.

Properties
electronic total energy = -4.8208 eV/atom
symmetry = Fd-3m

Cell: 5.6170 5.6170 5.6170 Å, 60.00 60.00 60.00°
Last column: nearest neighbours and their distance in Å.
Sites, in units of the cell vectors:
Zr1 0.1250 0.1250 0.1250  12 Se 3.29, 4 Zr 3.44
Zr2 0.8750 0.8750 0.8750  12 Se 3.29, 4 Zr 3.44
Se1 0.0000 0.5000 0.5000  6 Se 2.81
Se2 0.5000 0.0000 0.5000  6 Se 2.81
Se3 0.5000 0.5000 0.0000  6 Se 2.81
Se4 0.5000 0.5000 0.5000  6 Se 2.81

***

The following is a PBE calculation of an optimized crystal structure of ZrSe, from the Open Quantum Materials Database.

Properties
electronic total energy = -7.3705 eV/atom
symmetry = P-6m2

Cell: 3.5726 3.5726 3.6543 Å, 90.00 90.00 120.00°
Last column: nearest neighbours and their distance in Å.
Sites, in units of the cell vectors:
Zr1 0.0000 0.0000 0.0000  6 Se 2.76
Se1 0.3333 0.6667 0.5000  6 Zr 2.76

***

The following is a PBE calculation of an optimized crystal structure of Zr2Se3, from the Open Quantum Materials Database.

Properties
electronic total energy = -6.8580 eV/atom
symmetry = P-31c

Cell: 6.4999 6.4999 12.9510 Å, 90.00 90.00 120.00°
Last column: nearest neighbours and their distance in Å.
Sites, in units of the cell vectors:
Zr1 0.0000 0.0000 0.0000  6 Se 2.72
Zr2 0.0000 0.0000 0.5000  6 Se 2.72
Zr3 0.3333 0.6667 0.0032  6 Se 2.75-2.76
Zr4 0.3333 0.6667 0.2500  6 Se 2.71
Zr5 0.3333 0.6667 0.4968  6 Se 2.75-2.76
Zr6 0.6667 0.3333 0.5032  6 Se 2.75-2.76
Zr7 0.6667 0.3333 0.7500  6 Se 2.71
Zr8 0.6667 0.3333 0.9968  6 Se 2.75-2.76
Se1 0.0087 0.3331 0.8700  4 Zr 2.71-2.76
Se2 0.0087 0.6756 0.6300  4 Zr 2.71-2.76
Se3 0.3244 0.3331 0.6300  4 Zr 2.71-2.76
Se4 0.3244 0.9913 0.8700  4 Zr 2.71-2.76
Se5 0.3331 0.0087 0.3700  4 Zr 2.71-2.76
Se6 0.3331 0.3244 0.1300  4 Zr 2.71-2.76
Se7 0.6669 0.6756 0.8700  4 Zr 2.71-2.76
Se8 0.6669 0.9913 0.6300  4 Zr 2.71-2.76
Se9 0.6756 0.0087 0.1300  4 Zr 2.71-2.76
Se10 0.6756 0.6669 0.3700  4 Zr 2.71-2.76
Se11 0.9913 0.3244 0.3700  4 Zr 2.71-2.76
Se12 0.9913 0.6669 0.1300  4 Zr 2.71-2.76

***

The following is a PBE calculation of an optimized crystal structure of ZrSe2, from the Open Quantum Materials Database.

Properties
electronic total energy = -6.3558 eV/atom
symmetry = I4_1/amd

Cell: 5.3641 5.3641 11.0914 Å, 90.00 90.00 90.00°
Last column: nearest neighbours and their distance in Å.
Sites, in units of the cell vectors:
Zr1 0.0000 0.2500 0.3750  6 Se 2.68
Zr2 0.0000 0.7500 0.6250  6 Se 2.68
Zr3 0.5000 0.2500 0.1250  6 Se 2.68
Zr4 0.5000 0.7500 0.8750  6 Se 2.68
Se1 0.0000 0.2500 0.1330  3 Zr 2.68
Se2 0.0000 0.2500 0.6170  3 Zr 2.68
Se3 0.0000 0.7500 0.3830  3 Zr 2.68
Se4 0.0000 0.7500 0.8670  3 Zr 2.68
Se5 0.5000 0.2500 0.3670  3 Zr 2.68
Se6 0.5000 0.2500 0.8830  3 Zr 2.68
Se7 0.5000 0.7500 0.1170  3 Zr 2.68
Se8 0.5000 0.7500 0.6330  3 Zr 2.68

***

The following is a PBE calculation of an optimized crystal structure of ZrSe2, from the Open Quantum Materials Database.

Properties
electronic total energy = -6.1876 eV/atom
symmetry = I4/mcm

Cell: 6.2985 6.2985 6.3495 Å, 90.00 90.00 90.00°
Last column: nearest neighbours and their distance in Å.
Sites, in units of the cell vectors:
Zr1 0.0000 0.0000 0.2500  8 Se 2.84, 2 Zr 3.17
Zr2 0.0000 0.0000 0.7500  8 Se 2.84, 2 Zr 3.17
Zr3 0.5000 0.5000 0.2500  8 Se 2.84, 2 Zr 3.17
Zr4 0.5000 0.5000 0.7500  8 Se 2.84, 2 Zr 3.17
Se1 0.1623 0.3377 0.0000  4 Zr 2.84, 1 Se 2.89
Se2 0.1623 0.6623 0.5000  4 Zr 2.84, 1 Se 2.89
Se3 0.3377 0.1623 0.5000  4 Zr 2.84, 1 Se 2.89
Se4 0.3377 0.8377 0.0000  4 Zr 2.84, 1 Se 2.89
Se5 0.6623 0.1623 0.0000  4 Zr 2.84, 1 Se 2.89
Se6 0.6623 0.8377 0.5000  4 Zr 2.84, 1 Se 2.89
Se7 0.8377 0.3377 0.5000  4 Zr 2.84, 1 Se 2.89
Se8 0.8377 0.6623 0.0000  4 Zr 2.84, 1 Se 2.89

***

The following is a PBE calculation of an optimized crystal structure of ZrSe2, from the Open Quantum Materials Database.

Properties
electronic total energy = -6.3683 eV/atom
symmetry = Pnnm

Cell: 6.0072 6.7572 3.8030 Å, 90.00 90.00 90.00°
Last column: nearest neighbours and their distance in Å.
Sites, in units of the cell vectors:
Zr1 0.0000 0.0000 0.0000  6 Se 2.67-2.75
Zr2 0.5000 0.5000 0.5000  6 Se 2.67-2.75
Se1 0.2391 0.3475 0.0000  3 Zr 2.67-2.75
Se2 0.2609 0.8475 0.5000  3 Zr 2.67-2.75
Se3 0.7391 0.1525 0.5000  3 Zr 2.67-2.75
Se4 0.7609 0.6525 0.0000  3 Zr 2.67-2.75

***

The following is a PBE calculation of an optimized crystal structure of ZrSe2, from the Open Quantum Materials Database.

Properties
electronic total energy = -6.4310 eV/atom
symmetry = Amm2

Cell: 26.5608 3.7407 3.7407 Å, 60.03 90.00 90.00°
Last column: nearest neighbours and their distance in Å.
Sites, in units of the cell vectors:
Zr1 0.0000 0.0000 0.0000  6 Se 2.74
Zr2 0.2418 0.6667 0.6667  6 Se 2.70
Zr3 0.5000 0.4430 0.4430  6 Se 2.74
Zr4 0.7582 0.6667 0.6667  6 Se 2.70
Se1 0.0634 0.3334 0.3334  3 Zr 2.74
Se2 0.1808 0.0003 0.0003  3 Zr 2.70
Se3 0.3028 0.3335 0.3335  3 Zr 2.70
Se4 0.4364 0.7764 0.7764  3 Zr 2.74
Se5 0.5636 0.7764 0.7764  3 Zr 2.74
Se6 0.6972 0.3335 0.3335  3 Zr 2.70
Se7 0.8192 0.0003 0.0003  3 Zr 2.70
Se8 0.9366 0.3334 0.3334  3 Zr 2.74

***

The following is a PBE calculation of an optimized crystal structure of Zr2Se, from the Open Quantum Materials Database.

Properties
electronic total energy = -7.3145 eV/atom
symmetry = Fm-3m

Cell: 6.4133 6.4133 6.4133 Å, 90.00 90.00 90.00°
Last column: nearest neighbours and their distance in Å.
Sites, in units of the cell vectors:
Zr1 0.2500 0.2500 0.2500  4 Se 2.78
Zr2 0.2500 0.2500 0.7500  4 Se 2.78
Zr3 0.2500 0.7500 0.2500  4 Se 2.78
Zr4 0.2500 0.7500 0.7500  4 Se 2.78
Zr5 0.7500 0.2500 0.2500  4 Se 2.78
Zr6 0.7500 0.2500 0.7500  4 Se 2.78
Zr7 0.7500 0.7500 0.2500  4 Se 2.78
Zr8 0.7500 0.7500 0.7500  4 Se 2.78
Se1 0.0000 0.0000 0.0000  8 Zr 2.78
Se2 0.0000 0.5000 0.5000  8 Zr 2.78
Se3 0.5000 0.0000 0.5000  8 Zr 2.78
Se4 0.5000 0.5000 0.0000  8 Zr 2.78

***

The following is a PBE calculation of an optimized crystal structure of Zr2Se, from the Open Quantum Materials Database.

Properties
electronic total energy = -6.7128 eV/atom
symmetry = Fd-3m

Cell: 5.7391 5.7391 5.7391 Å, 60.00 60.00 60.00°
Last column: nearest neighbours and their distance in Å.
Sites, in units of the cell vectors:
Zr1 0.0000 0.0000 0.0000  6 Zr 2.87
Zr2 0.0000 0.0000 0.5000  6 Zr 2.87
Zr3 0.0000 0.5000 0.0000  6 Zr 2.87
Zr4 0.5000 0.0000 0.0000  6 Zr 2.87
Se1 0.3750 0.3750 0.3750  12 Zr 3.36, 4 Se 3.51
Se2 0.6250 0.6250 0.6250  12 Zr 3.36, 4 Se 3.51